! PBE with a Hubbard U SnW2O8, relaxed; values from VASP
! Total magnetic moment ... 0.0 μB/cell
! Space-group type ... P2/c, No. 13
! Raw total energy ... -7.0785 eV/atom
&SYSTEM
  ibrav = 0, nat = 22, ntyp = 3
/
ATOMIC_SPECIES
W 183.84 W.upf
O 16.00 O.upf
Sn 118.71 Sn.upf
ATOMIC_POSITIONS angstrom
W 5.6346 0.5575 2.4159
O 2.3935 -1.8213 6.4504
O 8.8716 2.1745 5.6732
W 6.2883 -0.4043 6.8357
O 10.6392 0.1603 4.8895
O 1.2837 -0.0071 4.3621
O 9.9000 0.9398 7.9448
Sn 8.7402 0.6281 4.2734
O 5.0998 -0.9548 5.5245
O 3.2862 1.3314 6.1315
O 3.0513 -2.0213 3.5784
W 2.1668 -2.4703 2.0406
O 6.8230 1.1080 3.7271
O 7.8312 -0.3968 5.8518
O 5.9535 1.4073 6.8325
O 9.5293 1.9746 2.8011
O 5.9693 -1.2541 2.4191
O 8.6367 -1.1782 3.1201
Sn 3.1827 -0.4748 4.9782
O 4.0917 0.5501 3.3998
O 2.0228 -0.7866 1.3068
W 9.7560 2.6235 7.2110
CELL_PARAMETERS angstrom
-1.4650 0.9825 5.6106
3.2056 -3.6606 1.4780
10.1823 2.8314 2.1629